Here is a geometry-optimized HfRu structure from Alexandria. Energies are from PBE.

Lattice parameters (Å, degrees): 7.143 7.143 7.143 154.47 51.10 136.52
Atoms (fractional coordinates):
Hf 0.000 0.000 0.000
Hf 0.512 0.191 0.321
Hf 0.870 0.191 0.679
Ru 0.045 0.693 0.352
Ru 0.341 0.693 0.648
Ru 0.523 0.523 0.000

Properties
- space-group type = No. 44
- total magnetic moment (μB/atom) = 0.0000
- energy relative to the elements (eV/atom) = -0.3379